{
  "formula": "InRe2Au",
  "functional": "GGA-PBE",
  "state": "optimized geometry",
  "lattice_angstrom": [[-0.118, -1.115, 2.982], [-2.705, -1.538, -0.683], [3.490, -5.316, -1.850]],
  "species": ["Au", "In", "Re", "Re"],
  "fractional_positions": [[0.500, 0.500, 0.250], [0.500, 0.500, 0.750], [0.000, 0.000, 0.014], [0.000, 0.000, 0.486]],
  "formation_enthalpy_0k_ev_per_atom": 0.835,
  "total_magnetization_mub_per_atom": 0.000
}

{
  "formula": "Li3Np2CuTe6",
  "functional": "GGA-PBE",
  "state": "optimized geometry",
  "lattice_angstrom": [[7.363, -0.006, 0.004], [-3.685, 6.375, 0.004], [-1.223, -2.118, 6.941]],
  "species": ["Li", "Li", "Li", "Np", "Np", "Cu", "Te", "Te", "Te", "Te", "Te", "Te"],
  "fractional_positions": [[0.172, 0.828, 0.500], [0.828, 0.172, 0.500], [0.500, 0.500, 0.500], [0.334, 0.666, 0.000], [0.666, 0.334, 0.000], [0.000, 0.000, 0.000], [0.918, 0.597, 0.751], [0.763, 0.763, 0.249], [0.082, 0.403, 0.249], [0.597, 0.918, 0.751], [0.237, 0.237, 0.751], [0.403, 0.082, 0.249]],
  "e_form_raw_mev_per_atom": -624,
  "total_magnetization_mub_per_atom": 0.496
}

{
  "formula": "Ce2Pm3Y6Er",
  "functional": "GGA-PBE",
  "state": "optimized geometry",
  "lattice_angstrom": [[6.204, 0.000, 0.004], [-3.101, 5.374, 0.004], [-1.039, -1.800, 11.633]],
  "species": ["Ce", "Ce", "Pm", "Pm", "Pm", "Y", "Y", "Y", "Y", "Y", "Y", "Er"],
  "fractional_positions": [[0.334, 0.666, 0.000], [0.666, 0.334, 0.000], [0.166, 0.834, 0.500], [0.834, 0.166, 0.500], [0.500, 0.500, 0.500], [0.918, 0.583, 0.754], [0.747, 0.747, 0.246], [0.082, 0.417, 0.246], [0.583, 0.918, 0.754], [0.253, 0.253, 0.754], [0.417, 0.082, 0.246], [0.000, 0.000, 0.000]],
  "formation_enthalpy_0k_ev_per_atom": 0.046,
  "total_magnetization_mub_per_atom": 0.161
}

{
  "formula": "Pm5Er7",
  "functional": "GGA-PBE",
  "state": "optimized geometry",
  "lattice_angstrom": [[5.691, 0.000, 0.000], [-2.846, 4.814, -0.295], [0.000, -2.499, 14.481]],
  "species": ["Pm", "Pm", "Pm", "Pm", "Pm", "Er", "Er", "Er", "Er", "Er", "Er", "Er"],
  "fractional_positions": [[0.141, 0.281, 0.436], [0.859, 0.719, 0.564], [0.388, 0.776, 0.200], [0.612, 0.224, 0.800], [0.000, 0.000, 0.000], [0.235, 0.469, 0.672], [0.765, 0.531, 0.328], [0.056, 0.113, 0.214], [0.944, 0.887, 0.786], [0.688, 0.376, 0.082], [0.500, 0.000, 0.500], [0.312, 0.624, 0.918]],
  "formation_enthalpy_0k_ev_per_atom": 0.184,
  "relative_energy_mev_per_atom": 180,
  "total_magnetization_mub_per_atom": 0.001
}

What did the first record say?
{
  "formula": "InRe2Au",
  "functional": "GGA-PBE",
  "state": "optimized geometry",
  "lattice_angstrom": [[-0.118, -1.115, 2.982], [-2.705, -1.538, -0.683], [3.490, -5.316, -1.850]],
  "species": ["Au", "In", "Re", "Re"],
  "fractional_positions": [[0.500, 0.500, 0.250], [0.500, 0.500, 0.750], [0.000, 0.000, 0.014], [0.000, 0.000, 0.486]],
  "formation_enthalpy_0k_ev_per_atom": 0.835,
  "total_magnetization_mub_per_atom": 0.000
}